First-principles (PBE-GGA) data for crystalline TeRh2Pb at its relaxed geometry, as listed in Alexandria.

Output
Magnetization in μB/atom: 0.000
Density in g/cm³: 10.23
VASP energy in eV/atom: -5.3709
Offset from the most stable computed form in eV/atom: 0.252
Space group: C2/m
DOS at the Fermi energy in states/eV/f.u.: 2.48

Structure (POSCAR):
```
TeRh2Pb
1.0
8.247 0.000 0.000
0.000 3.371 0.000
-2.894 0.000 6.315
Te Rh Pb
2 4 2
direct
0.000 0.000 0.000 Te
0.500 0.500 0.000 Te
0.223 0.000 0.819 Rh
0.277 0.500 0.181 Rh
0.723 0.500 0.819 Rh
0.777 0.000 0.181 Rh
0.000 0.500 0.500 Pb
0.500 0.000 0.500 Pb
```